Version a
# Li4HgPb PBE relaxed
data_Li4HgPb
_space_group_name_H-M_alt 'P 1 m 1'
_space_group_IT_number 6
_cell_length_a 3.2047
_cell_length_b 4.6141
_cell_length_c 7.9330
_cell_angle_alpha 90.00
_cell_angle_beta 90.03
_cell_angle_gamma 90.00
loop_
_space_group_symop_operation_xyz
'x,y,z'
'x,-y,z'
loop_
_atom_site_label
_atom_site_type_symbol
_atom_site_fract_x
_atom_site_fract_y
_atom_site_fract_z
_atom_site_occupancy
Li1 Li 0.0000 0.0000 0.0000 1
Li2 Li 0.0003 0.5000 0.1895 1
Li3 Li 0.4977 0.5000 0.5048 1
Li4 Li 0.9995 0.0000 0.6468 1
Hg1 Hg 0.5002 0.0000 0.3145 1
Pb1 Pb 0.4992 0.5000 0.8574 1
# Crystal system: monoclinic
# Total magnetization: 0.00 μB per cell

Version b
# Li4HgPb PBE relaxed
data_Li4HgPb
_space_group_name_H-M_alt 'F -4 3 m'
_space_group_IT_number 216
_space_group_name_Hall 'F -4 2 3'
_cell_length_a 7.7400
_cell_length_b 7.7400
_cell_length_c 7.7400
_cell_angle_alpha 90.00
_cell_angle_beta 90.00
_cell_angle_gamma 90.00
loop_
_atom_site_label
_atom_site_type_symbol
_atom_site_fract_x
_atom_site_fract_y
_atom_site_fract_z
_atom_site_occupancy
Li1 Li 0.1248 0.1248 0.1248 1
Hg1 Hg 0.0000 0.0000 0.5000 1
Pb1 Pb 0.2500 0.2500 0.7500 1
# Crystal system: cubic
# Total magnetization: 1.84 μB per cell

Version c
# Li4HgPb PBE relaxed
data_Li4HgPb
_space_group_name_H-M_alt 'P 1'
_space_group_IT_number 1
_cell_length_a 5.0941
_cell_length_b 5.0973
_cell_length_c 5.1480
_cell_angle_alpha 60.96
_cell_angle_beta 84.47
_cell_angle_gamma 79.94
loop_
_space_group_symop_operation_xyz
'x,y,z'
loop_
_atom_site_label
_atom_site_type_symbol
_atom_site_fract_x
_atom_site_fract_y
_atom_site_fract_z
_atom_site_occupancy
Li1 Li 0.0000 0.0000 0.0000 1
Li2 Li 0.0000 0.3302 0.3344 1
Li3 Li 0.4982 0.5093 0.9947 1
Li4 Li 0.5013 0.8345 0.3425 1
Hg1 Hg 0.5008 0.1701 0.6685 1
Pb1 Pb 0.0004 0.6653 0.6673 1
# Crystal system: triclinic
# Total magnetization: 0.00 μB per cell

Relative to the most stable one, in eV/atom, the structures come out at version a 0.036; version b 0.169; version c 0.000.

Version a
# LiHg3Pb3 PBE relaxed
data_LiHg3Pb3
_space_group_name_H-M_alt 'P m -3 n'
_space_group_IT_number 223
_space_group_name_Hall '-P 4n 2 3'
_cell_length_a 8.2875
_cell_length_b 8.2875
_cell_length_c 8.2875
_cell_angle_alpha 90.00
_cell_angle_beta 90.00
_cell_angle_gamma 90.00
loop_
_atom_site_label
_atom_site_type_symbol
_atom_site_fract_x
_atom_site_fract_y
_atom_site_fract_z
_atom_site_occupancy
Li1 Li 0.0000 0.0000 0.0000 1
Hg1 Hg 0.0000 0.2500 0.5000 1
Pb1 Pb 0.0000 0.5000 0.2500 1
# Crystal system: cubic
# Total magnetization: 0.00 μB per cell

Version b
# LiHg3Pb3 PBE relaxed
data_LiHg3Pb3
_space_group_name_H-M_alt 'C 1 2/m 1'
_space_group_IT_number 12
_cell_length_a 6.0958
_cell_length_b 10.0283
_cell_length_c 12.3261
_cell_angle_alpha 90.00
_cell_angle_beta 97.41
_cell_angle_gamma 90.00
loop_
_space_group_symop_operation_xyz
'x,y,z'
'-x,-y,-z'
'-x,y,-z'
'x,-y,z'
'x+1/2,y+1/2,z'
'-x+1/2,-y+1/2,-z'
'-x+1/2,y+1/2,-z'
'x+1/2,-y+1/2,z'
loop_
_atom_site_label
_atom_site_type_symbol
_atom_site_fract_x
_atom_site_fract_y
_atom_site_fract_z
_atom_site_occupancy
Li1 Li 0.0025 0.0000 0.2637 1
Hg1 Hg 0.1132 0.5000 0.1128 1
Hg2 Hg 0.2456 0.2672 0.7555 1
Pb1 Pb 0.0000 0.1711 0.0000 1
Pb2 Pb 0.0000 0.1729 0.5000 1
Pb3 Pb 0.0365 0.5000 0.3699 1
# Crystal system: monoclinic
# Total magnetization: 0.00 μB per cell

Relative to the most stable one, in eV/atom, the structures come out at version a 0.367; version b 0.000.

Version a
# Li3Hg2Pb2 PBE relaxed
data_Li3Hg2Pb2
_space_group_name_H-M_alt 'P -1'
_space_group_IT_number 2
_cell_length_a 4.7485
_cell_length_b 4.7903
_cell_length_c 8.2465
_cell_angle_alpha 73.42
_cell_angle_beta 73.47
_cell_angle_gamma 60.82
loop_
_space_group_symop_operation_xyz
'x,y,z'
'-x,-y,-z'
loop_
_atom_site_label
_atom_site_type_symbol
_atom_site_fract_x
_atom_site_fract_y
_atom_site_fract_z
_atom_site_occupancy
Li1 Li 0.0000 0.0000 0.0000 1
Li2 Li 0.2582 0.2532 0.2255 1
Hg1 Hg 0.3800 0.3796 0.8639 1
Pb1 Pb 0.1297 0.1347 0.6140 1
# Crystal system: triclinic
# Total magnetization: 0.00 μB per cell

Version b
# Li3Hg2Pb2 PBE relaxed
data_Li3Hg2Pb2
_space_group_name_H-M_alt 'C 1 2/m 1'
_space_group_IT_number 12
_cell_length_a 12.4006
_cell_length_b 3.5351
_cell_length_c 7.4695
_cell_angle_alpha 90.00
_cell_angle_beta 107.88
_cell_angle_gamma 90.00
loop_
_space_group_symop_operation_xyz
'x,y,z'
'-x,-y,-z'
'-x,y,-z'
'x,-y,z'
'x+1/2,y+1/2,z'
'-x+1/2,-y+1/2,-z'
'-x+1/2,y+1/2,-z'
'x+1/2,-y+1/2,z'
loop_
_atom_site_label
_atom_site_type_symbol
_atom_site_fract_x
_atom_site_fract_y
_atom_site_fract_z
_atom_site_occupancy
Li1 Li 0.0000 0.0000 0.0000 1
Li2 Li 0.1389 0.0000 0.4411 1
Hg1 Hg 0.1876 0.5000 0.1797 1
Pb1 Pb 0.0799 0.5000 0.7265 1
# Crystal system: monoclinic
# Total magnetization: 0.00 μB per cell

Relative to the most stable one, in eV/atom, the structures come out at version a 0.000; version b 0.007.

Version a
# LiHgPb6 PBE relaxed
data_LiHgPb6
_space_group_name_H-M_alt 'C m m m'
_space_group_IT_number 65
_space_group_name_Hall '-C 2 2'
_cell_length_a 9.6907
_cell_length_b 10.0468
_cell_length_c 4.7824
_cell_angle_alpha 90.00
_cell_angle_beta 90.00
_cell_angle_gamma 90.00
loop_
_atom_site_label
_atom_site_type_symbol
_atom_site_fract_x
_atom_site_fract_y
_atom_site_fract_z
_atom_site_occupancy
Li1 Li 0.0000 0.0000 0.0000 1
Hg1 Hg 0.0000 0.5000 0.0000 1
Pb1 Pb 0.0000 0.2479 0.5000 1
Pb2 Pb 0.2450 0.5000 0.5000 1
Pb3 Pb 0.2500 0.2500 0.0000 1
# Crystal system: orthorhombic
# Total magnetization: 0.00 μB per cell

Version b
# LiHgPb6 PBE relaxed
data_LiHgPb6
_space_group_name_H-M_alt 'C 1 2/m 1'
_space_group_IT_number 12
_cell_length_a 7.2607
_cell_length_b 12.0756
_cell_length_c 6.5615
_cell_angle_alpha 90.00
_cell_angle_beta 123.59
_cell_angle_gamma 90.00
loop_
_space_group_symop_operation_xyz
'x,y,z'
'-x,-y,-z'
'-x,y,-z'
'x,-y,z'
'x+1/2,y+1/2,z'
'-x+1/2,-y+1/2,-z'
'-x+1/2,y+1/2,-z'
'x+1/2,-y+1/2,z'
loop_
_atom_site_label
_atom_site_type_symbol
_atom_site_fract_x
_atom_site_fract_y
_atom_site_fract_z
_atom_site_occupancy
Li1 Li 0.0000 0.0000 0.0000 1
Hg1 Hg 0.0000 0.5000 0.5000 1
Pb1 Pb 0.2467 0.2255 0.2495 1
Pb2 Pb 0.2496 0.0000 0.7480 1
# Crystal system: monoclinic
# Total magnetization: 0.00 μB per cell

Relative to the most stable one, in eV/atom, the structures come out at version a 0.000; version b 0.092.

Version a
# Li2Hg6Pb3 PBE relaxed
data_Li2Hg6Pb3
_space_group_name_H-M_alt 'I 4/m m m'
_space_group_IT_number 139
_space_group_name_Hall '-I 4 2'
_cell_length_a 4.2460
_cell_length_b 4.2460
_cell_length_c 31.5437
_cell_angle_alpha 90.00
_cell_angle_beta 90.00
_cell_angle_gamma 90.00
loop_
_atom_site_label
_atom_site_type_symbol
_atom_site_fract_x
_atom_site_fract_y
_atom_site_fract_z
_atom_site_occupancy
Li1 Li 0.0000 0.0000 0.1402 1
Hg1 Hg 0.0000 0.0000 0.2267 1
Hg2 Hg 0.0000 0.5000 0.0799 1
Pb1 Pb 0.0000 0.0000 0.3277 1
Pb2 Pb 0.0000 0.0000 0.5000 1
# Crystal system: tetragonal
# Total magnetization: 0.00 μB per cell

Version b
# Li2Hg6Pb3 PBE relaxed
data_Li2Hg6Pb3
_space_group_name_H-M_alt 'I m -3 m'
_space_group_IT_number 229
_space_group_name_Hall '-I 4 2 3'
_cell_length_a 10.4069
_cell_length_b 10.4069
_cell_length_c 10.4069
_cell_angle_alpha 90.00
_cell_angle_beta 90.00
_cell_angle_gamma 90.00
loop_
_atom_site_label
_atom_site_type_symbol
_atom_site_fract_x
_atom_site_fract_y
_atom_site_fract_z
_atom_site_occupancy
Li1 Li 0.2500 0.2500 0.2500 1
Hg1 Hg 0.0000 0.3256 0.3256 1
Pb1 Pb 0.0000 0.0000 0.2377 1
# Crystal system: cubic
# Total magnetization: 0.00 μB per cell

Relative to the most stable one, in eV/atom, the structures come out at version a 0.020; version b 0.000.

Version a
# Li2Hg6Pb PBE relaxed
data_Li2Hg6Pb
_space_group_name_H-M_alt 'C 1 2/m 1'
_space_group_IT_number 12
_cell_length_a 14.9641
_cell_length_b 6.1722
_cell_length_c 5.0866
_cell_angle_alpha 90.00
_cell_angle_beta 98.66
_cell_angle_gamma 90.00
loop_
_space_group_symop_operation_xyz
'x,y,z'
'-x,-y,-z'
'-x,y,-z'
'x,-y,z'
'x+1/2,y+1/2,z'
'-x+1/2,-y+1/2,-z'
'-x+1/2,y+1/2,-z'
'x+1/2,-y+1/2,z'
loop_
_atom_site_label
_atom_site_type_symbol
_atom_site_fract_x
_atom_site_fract_y
_atom_site_fract_z
_atom_site_occupancy
Li1 Li 0.1212 0.0000 0.1618 1
Hg1 Hg 0.0000 0.2318 0.5000 1
Hg2 Hg 0.1969 0.2519 0.7268 1
Pb1 Pb 0.0000 0.5000 0.0000 1
# Crystal system: monoclinic
# Total magnetization: 0.00 μB per cell

Version b
# Li2Hg6Pb PBE relaxed
data_Li2Hg6Pb
_space_group_name_H-M_alt 'C 1 2/m 1'
_space_group_IT_number 12
_cell_length_a 9.4518
_cell_length_b 15.2172
_cell_length_c 3.2507
_cell_angle_alpha 90.00
_cell_angle_beta 109.20
_cell_angle_gamma 90.00
loop_
_space_group_symop_operation_xyz
'x,y,z'
'-x,-y,-z'
'-x,y,-z'
'x,-y,z'
'x+1/2,y+1/2,z'
'-x+1/2,-y+1/2,-z'
'-x+1/2,y+1/2,-z'
'x+1/2,-y+1/2,z'
loop_
_atom_site_label
_atom_site_type_symbol
_atom_site_fract_x
_atom_site_fract_y
_atom_site_fract_z
_atom_site_occupancy
Li1 Li 0.2024 0.0000 0.1977 1
Hg1 Hg 0.0000 0.1108 0.5000 1
Hg2 Hg 0.1747 0.3239 0.2032 1
Pb1 Pb 0.0000 0.5000 0.0000 1
# Crystal system: monoclinic
# Total magnetization: 0.00 μB per cell

Relative to the most stable one, in eV/atom, the structures come out at version a 0.034; version b 0.000.